[1]
{
  "formula": "PrEuTh2",
  "functional": "PBE",
  "state": "relaxed",
  "energy_ev_per_atom": -7.22,
  "volume_a3_per_fu": 140,
  "total_magnetization_mub_per_cell": 7.7,
  "formation_energy_kcal_per_mol_atoms": 5.7,
  "lattice": [[3.546, 0.000, 0.000], [1.773, 3.071, 0.000], [1.773, 1.024, 12.854]],
  "species": ["Eu", "Th", "Th", "Pr"],
  "frac_coords": [[0.000, 0.000, 0.000], [0.088, 0.088, 0.735], [0.912, 0.912, 0.265], [0.500, 0.500, 0.500]]
}

[2]
{
  "formula": "ZnReMo2",
  "functional": "PBE",
  "state": "relaxed",
  "energy_ev_per_atom": -8.64,
  "volume_a3_per_fu": 61,
  "total_magnetization_mub_per_cell": 0.0,
  "formation_energy_kcal_per_mol_atoms": 4.7,
  "lattice": [[-3.573, -0.288, -3.302], [4.363, -0.960, -1.947], [-0.328, -2.682, 0.588]],
  "species": ["Re", "Mo", "Mo", "Zn"],
  "frac_coords": [[0.500, 0.000, 0.500], [0.000, 0.000, 0.000], [0.500, 0.500, 0.000], [0.000, 0.500, 0.500]]
}

[3]
{
  "formula": "La2CrPd2",
  "functional": "PBE",
  "state": "relaxed",
  "energy_ev_per_atom": -6.39,
  "volume_a3_per_fu": 121,
  "total_magnetization_mub_per_cell": 9.0,
  "formation_energy_kcal_per_mol_atoms": -9.7,
  "lattice": [[-6.557, -3.286, -2.326], [3.636, -6.742, -0.726], [-0.922, -0.916, 3.891]],
  "species": ["Pd", "Pd", "Pd", "Pd", "La", "La", "La", "La", "Cr", "Cr"],
  "frac_coords": [[0.367, 0.867, 0.000], [0.867, 0.633, 0.000], [0.633, 0.133, 0.000], [0.133, 0.367, 0.000], [0.326, 0.174, 0.500], [0.174, 0.674, 0.500], [0.826, 0.326, 0.500], [0.674, 0.826, 0.500], [0.000, 0.000, 0.000], [0.500, 0.500, 0.000]]
}

[4]
{
  "formula": "ReAs2W",
  "functional": "PBE",
  "state": "relaxed",
  "energy_ev_per_atom": -8.37,
  "volume_a3_per_fu": 60,
  "total_magnetization_mub_per_cell": 0.0,
  "formation_energy_kcal_per_mol_atoms": 7.0,
  "lattice": [[0.000, 3.109, 3.109], [3.109, 0.000, 3.109], [3.109, 3.109, 0.000]],
  "species": ["As", "As", "W", "Re"],
  "frac_coords": [[0.250, 0.250, 0.250], [0.750, 0.750, 0.750], [0.000, 0.000, 0.000], [0.500, 0.500, 0.500]]
}

[5]
{
  "formula": "LiZn4Au3",
  "functional": "PBE",
  "state": "relaxed",
  "energy_ev_per_atom": -2.33,
  "volume_a3_per_fu": 137,
  "total_magnetization_mub_per_cell": 0.0,
  "formation_energy_kcal_per_mol_atoms": -5.2,
  "lattice": [[-1.964, 1.521, 1.457], [-5.217, -4.127, -2.726], [4.187, -2.835, 5.760]],
  "species": ["Au", "Au", "Au", "Zn", "Zn", "Zn", "Zn", "Li"],
  "frac_coords": [[0.173, 0.173, 0.347], [0.827, 0.827, 0.653], [0.000, 0.500, 0.000], [0.354, 0.164, 0.708], [0.646, 0.836, 0.292], [0.354, 0.544, 0.708], [0.646, 0.456, 0.292], [0.500, 0.000, 0.000]]
}

[6]
{
  "formula": "Cs2UGeS4",
  "functional": "PBE",
  "state": "relaxed",
  "energy_ev_per_atom": -5.14,
  "volume_a3_per_fu": 306,
  "total_magnetization_mub_per_cell": 4.0,
  "e_form_raw_mev_per_atom": -875,
  "lattice": [[5.896, 0.000, 0.000], [2.948, 7.740, 0.000], [2.948, 0.000, 13.424]],
  "species": ["Cs", "Cs", "Cs", "Cs", "S", "S", "S", "S", "S", "S", "S", "S", "U", "U", "Ge", "Ge"],
  "frac_coords": [[0.175, 0.000, 0.650], [0.575, 0.500, 0.850], [0.925, 0.500, 0.150], [0.825, 0.000, 0.350], [0.463, 0.702, 0.392], [0.605, 0.202, 0.108], [0.835, 0.702, 0.608], [0.193, 0.202, 0.892], [0.287, 0.798, 0.108], [0.915, 0.798, 0.892], [0.557, 0.298, 0.608], [0.145, 0.298, 0.392], [0.750, 0.500, 0.500], [0.000, 0.000, 0.000], [0.250, 0.500, 0.500], [0.500, 0.000, 0.000]]
}

[7]
{
  "formula": "RbBeGe2Br",
  "functional": "PBE",
  "state": "relaxed",
  "energy_ev_per_atom": -2.15,
  "volume_a3_per_fu": 177,
  "total_magnetization_mub_per_cell": 0.0,
  "e_form_raw_mev_per_atom": 975,
  "lattice": [[5.348, 0.000, 0.000], [0.000, 6.182, 0.000], [0.000, 0.000, 5.348]],
  "species": ["Be", "Rb", "Ge", "Ge", "Br"],
  "frac_coords": [[0.500, 0.500, 0.500], [0.000, 0.500, 0.000], [0.000, 0.000, 0.500], [0.500, 0.000, 0.000], [0.000, 0.000, 0.000]]
}

[8]
{
  "formula": "MnGe2Ir",
  "functional": "PBE",
  "state": "relaxed",
  "energy_ev_per_atom": -6.92,
  "volume_a3_per_fu": 61,
  "total_magnetization_mub_per_cell": 3.8,
  "formation_energy_kcal_per_mol_atoms": -2.3,
  "lattice": [[-2.614, 2.846, -0.306], [-5.073, -1.810, 1.936], [-0.314, 2.941, 5.451]],
  "species": ["Ge", "Ge", "Ge", "Ge", "Ir", "Ir", "Mn", "Mn"],
  "frac_coords": [[0.046, 0.719, 0.079], [0.429, 0.353, 0.678], [0.717, 0.329, 0.128], [0.275, 0.867, 0.474], [0.076, 0.354, 0.383], [0.726, 0.668, 0.770], [0.994, 0.097, 0.805], [0.401, 0.021, 0.066]]
}